Record 1
The following is a DFT calculation (PBE) of crystalline LiIrS2 at its relaxed geometry. Values from VASP.

```
&SYSTEM
  ibrav = 0, nat = 16, ntyp = 3
/
ATOMIC_SPECIES
S 32.06 S.upf
Ir 192.22 Ir.upf
Li 6.94 Li.upf
CELL_PARAMETERS angstrom
5.994 0.000 0.000
0.000 8.070 0.000
0.000 0.000 6.267
ATOMIC_POSITIONS crystal
S 0.939 0.415 0.506
S 0.413 0.642 0.482
Ir 0.083 0.651 0.659
Li 0.449 0.631 0.089
S 0.561 0.915 0.006
S 0.913 0.858 0.482
S 0.439 0.085 0.506
S 0.587 0.358 0.982
Li 0.551 0.369 0.589
Li 0.949 0.869 0.089
S 0.087 0.142 0.982
Ir 0.917 0.349 0.159
Li 0.051 0.131 0.589
Ir 0.417 0.151 0.159
S 0.061 0.585 0.006
Ir 0.583 0.849 0.659
```

Total moment   0.00 Bohr magnetons per cell
Space-group type   No. 33
E_tot   -83.11 eV per cell

Record 2
The following is a DFT calculation (PBE) of crystalline SrSnPt at its relaxed geometry. Values from VASP.

```
&SYSTEM
  ibrav = 0, nat = 12, ntyp = 3
/
ATOMIC_SPECIES
Sn 118.71 Sn.upf
Sr 87.62 Sr.upf
Pt 195.08 Pt.upf
CELL_PARAMETERS angstrom
-7.675 -0.410 0.579
0.165 -4.636 -1.092
0.689 -1.823 7.841
ATOMIC_POSITIONS crystal
Sn 0.165 0.750 0.576
Sn 0.335 0.250 0.076
Sn 0.665 0.750 0.924
Sr 0.519 0.750 0.316
Sn 0.835 0.250 0.424
Pt 0.799 0.750 0.604
Pt 0.299 0.750 0.896
Pt 0.201 0.250 0.396
Sr 0.481 0.250 0.684
Sr 0.981 0.250 0.816
Sr 0.019 0.750 0.184
Pt 0.701 0.250 0.104
```

Total moment   0.00 Bohr magnetons per cell
Space-group type   No. 62
E_tot   -57.34 eV per cell

Record 3
The following is a DFT calculation (PBE) of crystalline GdUPd at its relaxed geometry. Values from VASP.

```
&SYSTEM
  ibrav = 0, nat = 3, ntyp = 3
/
ATOMIC_SPECIES
Gd 157.25 Gd.upf
Pd 106.42 Pd.upf
U 238.03 U.upf
CELL_PARAMETERS angstrom
0.000 3.439 3.439
3.439 0.000 3.439
3.439 3.439 0.000
ATOMIC_POSITIONS crystal
Gd 0.250 0.250 0.250
Pd 0.000 0.000 0.000
U 0.750 0.750 0.750
```

Total moment   3.95 Bohr magnetons per cell
Calculated formation energy   182 meV/atom
Space-group type   No. 216
ΔE to the lowest computed polymorph   0.0 meV per atom
E_tot   -20.58 eV per cell

Record 4
The following is a DFT calculation (PBE) of crystalline LiP5W3 at its relaxed geometry. Values from VASP.

```
&SYSTEM
  ibrav = 0, nat = 9, ntyp = 3
/
ATOMIC_SPECIES
W 183.84 W.upf
P 30.97 P.upf
Li 6.94 Li.upf
CELL_PARAMETERS angstrom
5.335 0.000 0.000
-2.668 4.620 0.000
0.000 0.000 7.446
ATOMIC_POSITIONS crystal
W 0.000 0.500 0.500
P 0.333 0.667 0.769
P 0.333 0.667 0.231
P 0.667 0.333 0.231
P 0.667 0.333 0.769
Li 0.000 0.000 0.000
P 0.000 0.000 0.500
W 0.500 0.500 0.500
W 0.500 0.000 0.500
```

Total moment   0.01 Bohr magnetons per cell
Space-group type   No. 191
E_tot   -66.07 eV per cell

Among the records above, which one has the lowest E_tot? LiIrS2